Density functional theory data (PBE-GGA) for a geometry-optimized SmPuZr2As4 structure.

Output
Crystal system = monoclinic
E_tot = -8.071 eV per atom

Cell lengths 4.0024, 6.9253, 6.9927 Å; angles 109.25, 90.00, 90.00 degrees
Element x y z (fractional)
Sm (0.5000, 0.5000, 0.0000)
As (0.0000, 0.7584, 0.2679)
As (0.0000, 0.2416, 0.7321)
As (0.5000, 0.7471, 0.7340)
As (0.5000, 0.2529, 0.2660)
Zr (0.5000, 0.0000, 0.5000)
Zr (0.0000, 0.5000, 0.5000)
Pu (0.0000, 0.0000, 0.0000)